Sr7Ca5 after structural relaxation, computed with PBE-GGA.

Calculated values
ΔE to the lowest computed polymorph: 0.000 eV/atom
SG: Cmmm, No. 65

Structure (POSCAR):
```
Sr7Ca5
1.0
5.796 0.000 0.000
0.000 7.772 -2.701
0.000 0.174 13.033
Sr Ca
7 5
Direct
0.000 0.159 0.829 Sr
0.500 0.500 0.000 Sr
0.000 0.841 0.171 Sr
0.000 0.670 0.829 Sr
0.000 0.330 0.171 Sr
0.500 0.672 0.345 Sr
0.500 0.328 0.655 Sr
0.500 0.168 0.336 Ca
0.000 0.500 0.500 Ca
0.500 0.832 0.664 Ca
0.500 0.000 0.000 Ca
0.000 0.000 0.500 Ca
```

---

Sr3Ca after structural relaxation, computed with PBE-GGA.

Calculated values
SG: I4/mmm, No. 139
energy: -1.75 eV/atom

Structure (POSCAR):
```
Sr3Ca
1.0
-0.681 5.891 -4.129
-2.725 -1.867 -6.426
-2.159 -1.430 6.746
Sr Ca
3 1
Direct
0.250 0.750 0.500 Sr
0.500 0.500 0.000 Sr
0.750 0.250 0.500 Sr
0.000 0.000 0.000 Ca
```

---

no.,total magnetic moment (μB per atom)
1,0.0000
2,0.0001